# 1
# Li7Zn2

Crystalline Li7Zn2 at its relaxed geometry (PBE-GGA, OQMD via LeMat-Bulk).

a = 4.452 Å, b = 4.452 Å, c = 8.187 Å
α = 90.00°, β = 90.00°, γ = 120.00°
Element x y z (fractional)
Li1 0.667 0.333 0.437
Li2 0.333 0.667 0.563
Li3 0.000 0.000 0.674
Li4 0.000 0.000 0.000
Li5 0.667 0.333 0.106
Li6 0.000 0.000 0.326
Li7 0.333 0.667 0.894
Zn1 0.667 0.333 0.772
Zn2 0.333 0.667 0.228

Mass density: 2120 kg/m³
SG: No. 164

***

# 2
# ThPaCd

Crystalline ThPaCd at its relaxed geometry (PBE-GGA, OQMD via LeMat-Bulk).

a = 5.059 Å, b = 5.059 Å, c = 5.059 Å
α = 60.00°, β = 60.00°, γ = 60.00°
Element x y z (fractional)
Pa1 0.000 0.000 0.000
Th1 0.750 0.750 0.750
Cd1 0.250 0.250 0.250

Mass density: 10438 kg/m³
SG: No. 216
M_tot: 1.72 μB/f.u.

***

Results for uncorrected energy: -16.64; -15.17 (in eV per cell, following the order of the records).